[1]
Here is a geometry-optimized Er3Co2Ni7 structure from Alexandria via LeMat-Bulk. Energies are from PBE-GGA.

abc: 4.9362 4.9362 8.5921
angles: 73.31 73.31 60.00
Last column: magnetic moment on the atom in μB.
Positions (direct):
1 Ni 0.4180 0.4180 0.2450  0.27
2 Ni 0.4180 0.9190 0.2450  0.27
3 Er 0.0000 0.0000 0.0000  -0.13
4 Ni 0.9190 0.4180 0.2450  0.27
5 Ni 0.5000 0.5000 0.5000  0.04
6 Ni 0.0810 0.5820 0.7550  0.27
7 Ni 0.5820 0.0810 0.7550  0.27
8 Co 0.6670 0.6670 0.9991  1.41
9 Co 0.3330 0.3330 0.0009  1.41
10 Ni 0.5820 0.5820 0.7550  0.27
11 Er 0.8614 0.8614 0.4157  -0.11
12 Er 0.1386 0.1386 0.5843  -0.11

Values from the calculation:
The density of states at the Fermi level comes out at 12.005 states/eV per cell. The space-group type is No. 166. The value obtained for the size of the total moment is 3.9 μB per cell. The formation energy comes out at -0.374 eV/atom. As for the volume: 171 Å³/f.u.

***

[2]
Here is a geometry-optimized ErCoNi3 structure from Alexandria via LeMat-Bulk. Energies are from PBE-GGA.

abc: 4.3089 7.1003 7.1003
angles: 129.66 90.00 90.00
Last column: magnetic moment on the atom in μB.
Positions (direct):
1 Ni 0.2500 0.5838 0.0537  0.35
2 Ni 0.7500 0.0537 0.5838  0.35
3 Ni 0.5000 0.0000 0.0000  0.75
4 Er 0.2500 0.3919 0.6081  0.01
5 Ni 0.0000 0.0000 0.0000  0.75
6 Ni 0.7500 0.4162 0.9463  0.35
7 Co 0.7500 0.8347 0.1653  1.59
8 Er 0.7500 0.6081 0.3919  0.01
9 Co 0.2500 0.1653 0.8347  1.59
10 Ni 0.2500 0.9463 0.4162  0.35

Values from the calculation:
The density of states at the Fermi level comes out at 12.494 states/eV per cell. The space-group type is No. 63. The value obtained for the size of the total moment is 6.0 μB per cell. The formation energy comes out at 0.280 eV/atom. As for the volume: 84 Å³/f.u.

***

[3]
Here is a geometry-optimized Er12CoNi6 structure from Alexandria via LeMat-Bulk. Energies are from PBE-GGA.

abc: 7.8624 7.8624 7.8624
angles: 98.81 98.81 98.81
Positions (direct):
1 Er 0.9135 0.0427 0.6814
2 Er 0.4126 0.5757 0.1809
3 Er 0.0427 0.6814 0.9135
4 Er 0.5874 0.4243 0.8191
5 Ni 0.3135 0.1313 0.6180
6 Er 0.8191 0.5874 0.4243
7 Ni 0.6180 0.3135 0.1313
8 Ni 0.8687 0.3820 0.6865
9 Er 0.1809 0.4126 0.5757
10 Er 0.4243 0.8191 0.5874
11 Ni 0.1313 0.6180 0.3135
12 Co 0.0000 0.0000 0.0000
13 Er 0.0865 0.9573 0.3186
14 Ni 0.6865 0.8687 0.3820
15 Er 0.5757 0.1809 0.4126
16 Er 0.3186 0.0865 0.9573
17 Er 0.9573 0.3186 0.0865
18 Er 0.6814 0.9135 0.0427
19 Ni 0.3820 0.6865 0.8687

Values from the calculation:
The density of states at the Fermi level comes out at 16.433 states/eV per cell. The space-group type is No. 148. The value obtained for the size of the total moment is 0.0 μB per cell. The formation energy comes out at -0.215 eV/atom. As for the volume: 467 Å³/f.u.